Ga2BS4 | PBE-GGA | relaxed

Summary:
The spin magnetization is 0.00 μB per cell. The formation energy from raw total energies is -0.42 eV per atom. The space group is I-42m, No. 121.

Unit cell a=5.7546 b=5.7546 c=5.9564 alpha=118.89 beta=118.89 gamma=90.00
Last column: nearest neighbours and their distance in Å.
Fractional coordinates of all 7 atoms:
Ga: 0.7500 0.2500 0.5000  4 S 2.41
Ga: 0.2500 0.7500 0.5000  4 S 2.41
S: 0.8153 0.3974 0.2126  1 B 1.94
S: 0.3974 0.8153 0.2126  1 B 1.94
S: 0.1847 0.1847 0.7874  1 B 1.94
S: 0.6026 0.6026 0.7874  1 B 1.94
B: 0.5000 0.5000 0.0000  4 S 1.94